Entry 1:
Compound: NpTiCuO6
Source: Alexandria
Functional: PBE
Structure: optimized geometry

abc: 5.327 5.327 8.946
angles: 90.00 90.00 120.00
Site moments in Bohr magnetons follow the coordinates.
Atoms (fractional coordinates):
O 0.358 0.009 0.134  -0.03
O 0.642 0.651 0.634  -0.03
O 0.642 0.991 0.866  -0.03
O 0.009 0.651 0.866  -0.03
O 0.349 0.358 0.866  -0.03
O 0.991 0.642 0.366  -0.03
O 0.651 0.009 0.366  -0.03
O 0.349 0.991 0.634  -0.03
O 0.651 0.642 0.134  -0.03
O 0.991 0.349 0.134  -0.03
O 0.009 0.358 0.634  -0.03
O 0.358 0.349 0.366  -0.03
Ti 0.667 0.333 0.250  0.01
Ti 0.333 0.667 0.750  0.01
Cu 0.000 0.000 0.000  -0.28
Cu 0.000 0.000 0.500  -0.28
Np 0.333 0.667 0.250  0.44
Np 0.667 0.333 0.750  0.44

## Properties
total magnetic moment = 0.06 μB per cell
ΔE_f (raw) = -2.23 eV per atom
E_tot = -8.31 eV/atom
space group = P-31c, No. 163
DOS at the Fermi energy = 0.57 states/eV per atom

---

Entry 2:
Compound: Ac5Cd6
Source: Alexandria
Functional: PBE
Structure: optimized geometry

abc: 5.727 7.920 9.900
angles: 113.58 106.81 90.00
Atoms (fractional coordinates):
Cd 0.162 0.401 0.323
Cd 0.838 0.599 0.677
Cd 0.500 0.762 0.000
Cd 0.500 0.238 0.000
Cd 0.162 0.922 0.323
Cd 0.838 0.078 0.677
Ac 0.335 0.335 0.670
Ac 0.000 0.500 0.000
Ac 0.665 0.665 0.330
Ac 0.665 0.165 0.330
Ac 0.335 0.835 0.670

## Properties
total magnetic moment = 0.01 μB per cell
E_tot = -2.55 eV/atom
formation energy = -0.18 eV/atom
space group = Immm, No. 71
DOS at the Fermi energy = 0.96 states/eV per atom

---

Entry 3:
Compound: PrDyEr2
Source: Alexandria
Functional: PBE
Structure: optimized geometry

abc: 3.647 6.750 6.750
angles: 55.34 74.35 74.35
Atoms (fractional coordinates):
Er 0.002 0.080 0.915
Er 0.498 0.585 0.420
Pr 0.250 0.170 0.330
Dy 0.750 0.666 0.834

## Properties
total magnetic moment = 0.00 μB per cell
E_tot = -4.60 eV/atom
formation energy = 0.02 eV/atom
space group = Imm2, No. 44
DOS at the Fermi energy = 1.73 states/eV per atom
energy above the lowest structure with this stoichiometry = 7 meV per atom

---

Entry 4:
Compound: AlBI
Source: Alexandria
Functional: PBE
Structure: optimized geometry

abc: 5.230 7.456 7.202
angles: 87.50 90.00 90.00
Atoms (fractional coordinates):
Al 0.349 0.113 0.720
Al 0.849 0.887 0.780
Al 0.651 0.887 0.280
Al 0.151 0.113 0.220
B 0.435 0.093 0.430
B 0.935 0.907 0.070
B 0.565 0.907 0.570
B 0.065 0.093 0.930
I 0.243 0.694 0.622
I 0.743 0.306 0.878
I 0.757 0.306 0.378
I 0.257 0.694 0.122

## Properties
total magnetic moment = 0.00 μB per cell
ΔE_f (raw) = 0.25 eV per atom
E_tot = -3.74 eV/atom
space group = P2_1/c, No. 14